# CaUSn2

Crystalline CaUSn2 at its relaxed geometry (PBE-GGA, the Alexandria database).

Summary:
Total magnetization: 2.6 μB per formula unit
Calculated formation energy: 0.1784 eV/atom
Fermi-level density of states: 1.8247 states/eV per atom

a = 3.3065 Å, b = 3.3065 Å, c = 35.6642 Å
α = 90.00°, β = 90.00°, γ = 120.00°
Space group R-3m (No. 166, hexagonal axes)
Asymmetric unit:
Ca 0.0000 0.0000 0.0000
U 0.0000 0.0000 0.5000
Sn 0.0000 0.0000 0.0898